[1]
Entry from the Alexandria database: crystalline Al3Co5O12 at its relaxed geometry (PBE+U).

```
Al3Co5O12
1.0
-6.012 6.012 6.012
6.012 -6.012 6.012
6.012 6.012 -6.012
Al Co O
12 20 48
direct
0.125 0.250 0.375 Al
0.125 0.375 0.750 Al
0.250 0.375 0.125 Al
0.250 0.875 0.625 Al
0.375 0.125 0.250 Al
0.375 0.750 0.125 Al
0.625 0.250 0.875 Al
0.625 0.875 0.750 Al
0.750 0.125 0.375 Al
0.750 0.625 0.875 Al
0.875 0.625 0.250 Al
0.875 0.750 0.625 Al
0.000 0.000 0.000 Co
0.000 0.000 0.500 Co
0.000 0.500 0.000 Co
0.000 0.500 0.500 Co
0.125 0.750 0.875 Co
0.125 0.875 0.250 Co
0.250 0.125 0.875 Co
0.250 0.625 0.375 Co
0.375 0.250 0.625 Co
0.375 0.625 0.750 Co
0.500 0.000 0.000 Co
0.500 0.000 0.500 Co
0.500 0.500 0.000 Co
0.500 0.500 0.500 Co
0.625 0.375 0.250 Co
0.625 0.750 0.375 Co
0.750 0.375 0.625 Co
0.750 0.875 0.125 Co
0.875 0.125 0.750 Co
0.875 0.250 0.125 Co
0.000 0.143 0.164 O
0.000 0.358 0.836 O
0.000 0.642 0.164 O
0.000 0.857 0.836 O
0.022 0.164 0.664 O
0.022 0.357 0.358 O
0.142 0.143 0.478 O
0.142 0.500 0.664 O
0.143 0.164 0.000 O
0.143 0.478 0.142 O
0.164 0.000 0.143 O
0.164 0.000 0.642 O
0.164 0.664 0.022 O
0.164 0.664 0.522 O
0.336 0.357 0.500 O
0.336 0.478 0.836 O
0.336 0.858 0.500 O
0.336 0.978 0.836 O
0.357 0.358 0.022 O
0.357 0.500 0.336 O
0.358 0.022 0.357 O
0.358 0.836 0.000 O
0.478 0.142 0.143 O
0.478 0.836 0.336 O
0.500 0.336 0.357 O
0.500 0.336 0.858 O
0.500 0.664 0.142 O
0.500 0.664 0.643 O
0.522 0.164 0.664 O
0.522 0.858 0.857 O
0.642 0.164 0.000 O
0.642 0.978 0.643 O
0.643 0.500 0.664 O
0.643 0.642 0.978 O
0.664 0.022 0.164 O
0.664 0.142 0.500 O
0.664 0.522 0.164 O
0.664 0.643 0.500 O
0.836 0.000 0.358 O
0.836 0.000 0.857 O
0.836 0.336 0.478 O
0.836 0.336 0.978 O
0.857 0.522 0.858 O
0.857 0.836 0.000 O
0.858 0.500 0.336 O
0.858 0.857 0.522 O
0.978 0.643 0.642 O
0.978 0.836 0.336 O
```

Values from the calculation:
density of states at the Fermi level: 29.7 states/eV per cell
calculated density: 4.34 g cm⁻³
raw total energy: -6.2680 eV per atom

***

[2]
Entry from the Alexandria database: crystalline Al2CoOsO at its relaxed geometry (PBE+U).

```
Al2CoOsO
1.0
4.362 0.000 0.000
0.000 4.362 0.000
0.000 0.000 4.290
Al Co Os O
2 1 1 1
direct
0.000 0.500 0.000 Al
0.500 0.000 0.000 Al
0.000 0.000 0.000 Co
0.000 0.000 0.500 Os
0.500 0.500 0.500 O
```

Values from the calculation:
density of states at the Fermi level: 2.9 states/eV per cell
calculated density: 6.49 g cm⁻³
raw total energy: -4.7484 eV per atom

***

[3]
Entry from the Alexandria database: crystalline AlCo2OsO at its relaxed geometry (PBE+U).

```
AlCo2OsO
1.0
4.413 0.000 0.000
0.000 4.413 0.000
0.000 0.000 4.504
Al Co Os O
1 2 1 1
direct
0.000 0.000 0.000 Al
0.000 0.500 0.000 Co
0.500 0.000 0.000 Co
0.000 0.000 0.500 Os
0.500 0.500 0.500 O
```

Values from the calculation:
density of states at the Fermi level: 4.7 states/eV per cell
calculated density: 6.65 g cm⁻³
raw total energy: -4.1716 eV per atom

***

[4]
Entry from the Alexandria database: crystalline AlCoOsO6 at its relaxed geometry (PBE+U).

```
AlCoOsO6
1.0
4.957 0.000 0.000
-2.479 4.293 0.000
0.000 0.000 8.826
Al Co Os O
2 2 2 12
direct
0.333 0.667 0.250 Al
0.667 0.333 0.750 Al
0.000 0.000 0.000 Co
0.000 0.000 0.500 Co
0.333 0.667 0.750 Os
0.667 0.333 0.250 Os
0.001 0.353 0.134 O
0.001 0.648 0.366 O
0.352 0.353 0.366 O
0.352 0.999 0.134 O
0.353 0.001 0.634 O
0.353 0.352 0.866 O
0.647 0.648 0.134 O
0.647 0.999 0.366 O
0.648 0.001 0.866 O
0.648 0.647 0.634 O
0.999 0.352 0.634 O
0.999 0.647 0.866 O
```

Values from the calculation:
density of states at the Fermi level: 3.4 states/eV per cell
calculated density: 6.58 g cm⁻³
raw total energy: -7.0049 eV per atom

***

[5]
Entry from the Alexandria database: crystalline Al2CoPO6 at its relaxed geometry (PBE+U).

```
Al2CoPO6
1.0
4.347 -5.348 0.000
4.347 5.348 0.000
-2.301 0.000 4.967
Al Co P O
4 2 2 12
direct
0.050 0.210 0.161 Al
0.210 0.050 0.661 Al
0.790 0.950 0.339 Al
0.950 0.790 0.839 Al
0.413 0.587 0.750 Co
0.587 0.413 0.250 Co
0.311 0.689 0.250 P
0.689 0.311 0.750 P
0.064 0.181 0.477 O
0.142 0.672 0.992 O
0.181 0.064 0.977 O
0.273 0.473 0.304 O
0.328 0.858 0.508 O
0.473 0.273 0.804 O
0.527 0.727 0.196 O
0.672 0.142 0.492 O
0.727 0.527 0.696 O
0.819 0.936 0.023 O
0.858 0.328 0.008 O
0.936 0.819 0.523 O
```

Values from the calculation:
calculated density: 3.45 g cm⁻³
raw total energy: -7.0108 eV per atom

***

[6]
Entry from the Alexandria database: crystalline PaAlCo2O6 at its relaxed geometry (PBE+U).

```
PaAlCo2O6
1.0
5.443 0.000 0.000
0.000 5.443 0.000
0.000 0.000 4.575
Pa Al Co O
1 1 2 6
direct
0.000 0.000 0.000 Pa
0.500 0.500 0.014 Al
0.000 0.500 0.341 Co
0.500 0.000 0.341 Co
0.000 0.000 0.546 O
0.267 0.267 0.137 O
0.267 0.733 0.137 O
0.500 0.500 0.630 O
0.733 0.267 0.137 O
0.733 0.733 0.137 O
```

Values from the calculation:
calculated density: 5.78 g cm⁻³
raw total energy: -7.3156 eV per atom

***

[7]
Entry from the Alexandria database: crystalline Pm3Al2CoO9 at its relaxed geometry (PBE+U).

```
Pm3Al2CoO9
1.0
5.316 0.000 0.000
-2.658 4.604 0.000
0.000 0.000 6.512
Pm Al Co O
3 2 1 9
direct
0.000 0.000 0.000 Pm
0.333 0.667 0.659 Pm
0.667 0.333 0.341 Pm
0.333 0.667 0.161 Al
0.667 0.333 0.839 Al
0.000 0.000 0.500 Co
0.000 0.500 0.000 O
0.168 0.336 0.333 O
0.168 0.832 0.333 O
0.336 0.168 0.667 O
0.500 0.000 0.000 O
0.500 0.500 0.000 O
0.664 0.832 0.333 O
0.832 0.168 0.667 O
0.832 0.664 0.667 O
```

Values from the calculation:
density of states at the Fermi level: 0.0 states/eV per cell
calculated density: 7.21 g cm⁻³
raw total energy: -7.6230 eV per atom

***

[8]
Entry from the Alexandria database: crystalline Pr3Al2CoO9 at its relaxed geometry (PBE+U).

```
Pr3Al2CoO9
1.0
5.359 0.000 0.000
-2.680 4.641 0.000
0.000 0.000 6.566
Pr Al Co O
3 2 1 9
direct
0.000 0.000 0.000 Pr
0.333 0.667 0.660 Pr
0.667 0.333 0.340 Pr
0.333 0.667 0.161 Al
0.667 0.333 0.839 Al
0.000 0.000 0.500 Co
0.000 0.500 0.000 O
0.168 0.335 0.332 O
0.168 0.832 0.332 O
0.335 0.168 0.668 O
0.500 0.000 0.000 O
0.500 0.500 0.000 O
0.665 0.832 0.332 O
0.832 0.168 0.668 O
0.832 0.665 0.668 O
```

Values from the calculation:
density of states at the Fermi level: 0.0 states/eV per cell
calculated density: 6.91 g cm⁻³
raw total energy: -7.6224 eV per atom

***

[9]
Entry from the Alexandria database: crystalline Al2CoPtO at its relaxed geometry (PBE+U).

```
Al2CoPtO
1.0
4.701 0.000 0.000
0.000 4.701 0.000
0.000 0.000 4.780
Al Co Pt O
2 1 1 1
direct
0.000 0.500 0.000 Al
0.500 0.000 0.000 Al
0.000 0.000 0.500 Co
0.000 0.000 0.000 Pt
0.500 0.500 0.500 O
```

Values from the calculation:
density of states at the Fermi level: 2.7 states/eV per cell
calculated density: 5.09 g cm⁻³
raw total energy: -4.3556 eV per atom

***

[10]
Entry from the Alexandria database: crystalline Rb2AlCoO4 at its relaxed geometry (PBE+U).

```
Rb2AlCoO4
1.0
0.000 6.074 10.324
2.535 0.000 10.324
2.535 6.074 0.000
Rb Al Co O
4 2 2 8
direct
0.050 0.050 0.700 Rb
0.300 0.300 0.950 Rb
0.700 0.700 0.050 Rb
0.950 0.950 0.300 Rb
0.125 0.125 0.125 Al
0.875 0.875 0.875 Al
0.375 0.375 0.375 Co
0.625 0.625 0.625 Co
0.017 0.320 0.396 O
0.233 0.604 0.680 O
0.320 0.017 0.767 O
0.396 0.767 0.017 O
0.604 0.233 0.983 O
0.680 0.983 0.233 O
0.767 0.396 0.320 O
0.983 0.680 0.604 O
```

Values from the calculation:
calculated density: 3.35 g cm⁻³
raw total energy: -5.5557 eV per atom

***

[11]
Entry from the Alexandria database: crystalline Sm2AlCoO6 at its relaxed geometry (PBE+U).

```
Sm2AlCoO6
1.0
5.322 0.000 0.000
0.000 5.383 0.000
-5.305 0.000 7.542
Sm Al Co O
4 2 2 12
direct
0.240 0.044 0.250 Sm
0.240 0.456 0.750 Sm
0.760 0.544 0.250 Sm
0.760 0.956 0.750 Sm
0.500 0.000 0.000 Al
0.500 0.500 0.500 Al
0.000 0.000 0.500 Co
0.000 0.500 0.000 Co
0.175 0.212 0.960 O
0.175 0.288 0.460 O
0.247 0.716 0.959 O
0.247 0.784 0.459 O
0.328 0.014 0.752 O
0.328 0.486 0.252 O
0.672 0.514 0.748 O
0.672 0.986 0.248 O
0.753 0.216 0.541 O
0.753 0.284 0.041 O
0.825 0.712 0.540 O
0.825 0.788 0.040 O
```

Values from the calculation:
density of states at the Fermi level: 0.0 states/eV per cell
calculated density: 7.42 g cm⁻³
raw total energy: -7.5393 eV per atom

***

[12]
Entry from the Alexandria database: crystalline Al2CoSnO at its relaxed geometry (PBE+U).

```
Al2CoSnO
1.0
5.386 0.000 0.000
0.000 5.386 0.000
0.000 0.000 4.068
Al Co Sn O
2 1 1 1
direct
0.000 0.500 0.000 Al
0.500 0.000 0.000 Al
0.000 0.000 0.500 Co
0.500 0.500 0.000 Sn
0.500 0.500 0.500 O
```

Values from the calculation:
density of states at the Fermi level: 2.9 states/eV per cell
calculated density: 3.48 g cm⁻³
raw total energy: -3.6496 eV per atom

***

Among the records above, which one has the lowest calculated density? Rb2AlCoO4

***

What did the sixth record say?
Entry from the Alexandria database: crystalline PaAlCo2O6 at its relaxed geometry (PBE+U).

```
PaAlCo2O6
1.0
5.443 0.000 0.000
0.000 5.443 0.000
0.000 0.000 4.575
Pa Al Co O
1 1 2 6
direct
0.000 0.000 0.000 Pa
0.500 0.500 0.014 Al
0.000 0.500 0.341 Co
0.500 0.000 0.341 Co
0.000 0.000 0.546 O
0.267 0.267 0.137 O
0.267 0.733 0.137 O
0.500 0.500 0.630 O
0.733 0.267 0.137 O
0.733 0.733 0.137 O
```

Values from the calculation:
calculated density: 5.78 g cm⁻³
raw total energy: -7.3156 eV per atom